1.
Crystalline ReHg2P at its relaxed geometry, computed with PBE-GGA.

Properties
DFT total energy: -3.66 eV/atom

Cell and atoms, written as CIF:
```
data_ReHg2P
_chemical_formula_sum 'Re2 Hg4 P2'
_symmetry_space_group_name_H-M 'C m m m'
_symmetry_Int_Tables_number 65
_symmetry_space_group_name_Hall '-C 2 2'
_cell_length_a 5.694
_cell_length_b 8.879
_cell_length_c 2.870
_cell_angle_alpha 90.00
_cell_angle_beta 90.00
_cell_angle_gamma 90.00
loop_
_atom_site_label
_atom_site_fract_x
_atom_site_fract_y
_atom_site_fract_z
_atom_site_occupancy
Re1 0.000 0.000 0.000 1
Hg1 0.250 0.250 0.500 1
P1 0.000 0.500 0.000 1
```

***

2.
Crystalline ReAg at its relaxed geometry, computed with PBE-GGA.

Properties
DFT total energy: -6.72 eV/atom
Polymorph energy (0 for the lowest one): 0.6861 eV/atom

Cell and atoms, written as CIF:
```
data_ReAg
_chemical_formula_sum 'Re16 Ag16'
_symmetry_space_group_name_H-M 'F d d d'
_symmetry_Int_Tables_number 70
_cell_length_a 4.643
_cell_length_b 7.900
_cell_length_c 15.138
_cell_angle_alpha 90.00
_cell_angle_beta 90.00
_cell_angle_gamma 90.00
loop_
_symmetry_equiv_pos_as_xyz
'x,y,z'
'-x,-y,-z'
'-x+1/4,-y+1/4,z'
'x+1/4,y+1/4,-z'
'x,-y+1/4,-z+1/4'
'-x,y+1/4,z+1/4'
'-x+1/4,y,-z+1/4'
'x+1/4,-y,z+1/4'
'x,y+1/2,z+1/2'
'-x,-y+1/2,-z+1/2'
'-x+1/4,-y+3/4,z+1/2'
'x+1/4,y+3/4,-z+1/2'
'x,-y+3/4,-z+3/4'
'-x,y+3/4,z+3/4'
'-x+1/4,y+1/2,-z+3/4'
'x+1/4,-y+1/2,z+3/4'
'x+1/2,y,z+1/2'
'-x+1/2,-y,-z+1/2'
'-x+3/4,-y+1/4,z+1/2'
'x+3/4,y+1/4,-z+1/2'
'x+1/2,-y+1/4,-z+3/4'
'-x+1/2,y+1/4,z+3/4'
'-x+3/4,y,-z+3/4'
'x+3/4,-y,z+3/4'
'x+1/2,y+1/2,z'
'-x+1/2,-y+1/2,-z'
'-x+3/4,-y+3/4,z'
'x+3/4,y+3/4,-z'
'x+1/2,-y+3/4,-z+1/4'
'-x+1/2,y+3/4,z+1/4'
'-x+3/4,y+1/2,-z+1/4'
'x+3/4,-y+1/2,z+1/4'
loop_
_atom_site_label
_atom_site_fract_x
_atom_site_fract_y
_atom_site_fract_z
_atom_site_occupancy
Re1 0.125 0.125 0.041 1
Ag1 0.125 0.290 0.625 1
```

***

3.
Crystalline YTeIr4 at its relaxed geometry, computed with PBE-GGA.

Properties
Uncorrected formation energy: -0.1369 eV/atom
DFT total energy: -7.65 eV/atom

Cell and atoms, written as CIF:
```
data_YTeIr4
_chemical_formula_sum 'Y4 Te4 Ir16'
_symmetry_space_group_name_H-M 'F -4 3 m'
_symmetry_Int_Tables_number 216
_symmetry_space_group_name_Hall 'F -4 2 3'
_cell_length_a 7.583
_cell_length_b 7.583
_cell_length_c 7.583
_cell_angle_alpha 90.00
_cell_angle_beta 90.00
_cell_angle_gamma 90.00
loop_
_atom_site_label
_atom_site_fract_x
_atom_site_fract_y
_atom_site_fract_z
_atom_site_occupancy
Y1 0.000 0.000 0.000 1
Te1 0.250 0.250 0.250 1
Ir1 0.125 0.125 0.625 1
```

***

4.
Crystalline ErMgGa2Pd5 at its relaxed geometry, computed with PBE-GGA.

Properties
DFT total energy: -4.94 eV/atom

Cell and atoms, written as CIF:
```
data_ErMgGa2Pd5
_chemical_formula_sum 'Er1 Mg1 Ga2 Pd5'
_symmetry_space_group_name_H-M 'P 4/m m m'
_symmetry_Int_Tables_number 123
_symmetry_space_group_name_Hall '-P 4 2'
_cell_length_a 4.140
_cell_length_b 4.140
_cell_length_c 9.257
_cell_angle_alpha 90.00
_cell_angle_beta 90.00
_cell_angle_gamma 90.00
loop_
_atom_site_label
_atom_site_fract_x
_atom_site_fract_y
_atom_site_fract_z
_atom_site_occupancy
Er1 0.000 0.000 0.000 1
Mg1 0.000 0.000 0.500 1
Ga1 0.500 0.500 0.369 1
Pd1 0.000 0.500 0.223 1
Pd2 0.500 0.500 0.000 1
```

***

5.
Crystalline V3GaS6 at its relaxed geometry, computed with PBE-GGA.

Properties
Uncorrected formation energy: -0.6378 eV/atom
DFT total energy: -6.15 eV/atom

Cell and atoms, written as CIF:
```
data_V3GaS6
_chemical_formula_sum 'V12 Ga4 S24'
_symmetry_space_group_name_H-M 'C m c 21'
_symmetry_Int_Tables_number 36
_symmetry_space_group_name_Hall 'C 2c -2'
_cell_length_a 9.260
_cell_length_b 13.279
_cell_length_c 5.786
_cell_angle_alpha 90.00
_cell_angle_beta 90.00
_cell_angle_gamma 90.00
loop_
_atom_site_label
_atom_site_fract_x
_atom_site_fract_y
_atom_site_fract_z
_atom_site_occupancy
V1 0.000 0.064 0.000 1
V2 0.185 0.438 0.159 1
Ga1 0.000 0.278 0.654 1
S1 0.000 0.321 0.271 1
S2 0.000 0.443 0.833 1
S3 0.162 0.061 0.330 1
S4 0.170 0.183 0.852 1
```

***

6.
Crystalline Dy2Ga2Ru5W at its relaxed geometry, computed with PBE-GGA.

Properties
DFT total energy: -7.78 eV/atom

Cell and atoms, written as CIF:
```
data_Dy2Ga2Ru5W
_chemical_formula_sum 'Dy4 Ga4 Ru10 W2'
_symmetry_space_group_name_H-M 'P 4/m b m'
_symmetry_Int_Tables_number 127
_symmetry_space_group_name_Hall '-P 4 2ab'
_cell_length_a 10.132
_cell_length_b 10.132
_cell_length_c 3.287
_cell_angle_alpha 90.00
_cell_angle_beta 90.00
_cell_angle_gamma 90.00
loop_
_atom_site_label
_atom_site_fract_x
_atom_site_fract_y
_atom_site_fract_z
_atom_site_occupancy
Dy1 0.171 0.329 0.000 1
Ga1 0.128 0.628 0.000 1
Ru1 0.000 0.500 0.500 1
Ru2 0.064 0.804 0.500 1
W1 0.000 0.000 0.000 1
```

***

7.
Crystalline LiLaPrFe at its relaxed geometry, computed with PBE-GGA.

Properties
DFT total energy: -4.83 eV/atom

Cell and atoms, written as CIF:
```
data_LiLaPrFe
_chemical_formula_sum 'Li4 La4 Pr4 Fe4'
_symmetry_space_group_name_H-M 'F -4 3 m'
_symmetry_Int_Tables_number 216
_symmetry_space_group_name_Hall 'F -4 2 3'
_cell_length_a 7.244
_cell_length_b 7.244
_cell_length_c 7.244
_cell_angle_alpha 90.00
_cell_angle_beta 90.00
_cell_angle_gamma 90.00
loop_
_atom_site_label
_atom_site_fract_x
_atom_site_fract_y
_atom_site_fract_z
_atom_site_occupancy
Li1 0.000 0.000 0.000 1
La1 0.250 0.250 0.750 1
Pr1 0.250 0.250 0.250 1
Fe1 0.000 0.000 0.500 1
```

***

8.
Crystalline ReHAu2N at its relaxed geometry, computed with PBE-GGA.

Properties
DFT total energy: -4.55 eV/atom

Cell and atoms, written as CIF:
```
data_ReHAu2N
_chemical_formula_sum 'Re1 H1 Au2 N1'
_symmetry_space_group_name_H-M 'P 4/m m m'
_symmetry_Int_Tables_number 123
_symmetry_space_group_name_Hall '-P 4 2'
_cell_length_a 3.916
_cell_length_b 3.916
_cell_length_c 4.231
_cell_angle_alpha 90.00
_cell_angle_beta 90.00
_cell_angle_gamma 90.00
loop_
_atom_site_label
_atom_site_fract_x
_atom_site_fract_y
_atom_site_fract_z
_atom_site_occupancy
Re1 0.000 0.000 0.000 1
H1 0.000 0.000 0.500 1
Au1 0.000 0.500 0.500 1
N1 0.500 0.500 0.000 1
```

***

9.
Crystalline ReTcN3 at its relaxed geometry, computed with PBE-GGA.

Properties
Uncorrected formation energy: 1.1050 eV/atom
DFT total energy: -8.45 eV/atom

Cell and atoms, written as CIF:
```
data_ReTcN3
_chemical_formula_sum 'Re1 Tc1 N3'
_symmetry_space_group_name_H-M 'P m -3 m'
_symmetry_Int_Tables_number 221
_symmetry_space_group_name_Hall '-P 4 2 3'
_cell_length_a 3.888
_cell_length_b 3.888
_cell_length_c 3.888
_cell_angle_alpha 90.00
_cell_angle_beta 90.00
_cell_angle_gamma 90.00
loop_
_atom_site_label
_atom_site_fract_x
_atom_site_fract_y
_atom_site_fract_z
_atom_site_occupancy
Re1 0.000 0.000 0.000 1
Tc1 0.500 0.500 0.500 1
N1 0.000 0.000 0.500 1
```

***

10.
Crystalline PrSm2YH at its relaxed geometry, computed with PBE-GGA.

Properties
DFT total energy: -4.98 eV/atom

Cell and atoms, written as CIF:
```
data_PrSm2YH
_chemical_formula_sum 'Pr1 Sm2 Y1 H1'
_symmetry_space_group_name_H-M 'P 4/m m m'
_symmetry_Int_Tables_number 123
_symmetry_space_group_name_Hall '-P 4 2'
_cell_length_a 5.116
_cell_length_b 5.116
_cell_length_c 5.094
_cell_angle_alpha 90.00
_cell_angle_beta 90.00
_cell_angle_gamma 90.00
loop_
_atom_site_label
_atom_site_fract_x
_atom_site_fract_y
_atom_site_fract_z
_atom_site_occupancy
Pr1 0.000 0.000 0.000 1
Sm1 0.000 0.500 0.500 1
Y1 0.500 0.500 0.000 1
H1 0.500 0.500 0.500 1
```

***

11.
Crystalline KSc2Cu at its relaxed geometry, computed with PBE-GGA.

Properties
DFT total energy: -3.85 eV/atom
Polymorph energy (0 for the lowest one): 0.4226 eV/atom

Cell and atoms, written as CIF:
```
data_KSc2Cu
_chemical_formula_sum 'K1 Sc2 Cu1'
_symmetry_space_group_name_H-M 'P m m m'
_symmetry_Int_Tables_number 47
_symmetry_space_group_name_Hall '-P 2 2'
_cell_length_a 3.488
_cell_length_b 5.297
_cell_length_c 5.428
_cell_angle_alpha 90.00
_cell_angle_beta 90.00
_cell_angle_gamma 90.00
loop_
_atom_site_label
_atom_site_fract_x
_atom_site_fract_y
_atom_site_fract_z
_atom_site_occupancy
K1 0.000 0.000 0.000 1
Sc1 0.000 0.500 0.500 1
Sc2 0.500 0.000 0.500 1
Cu1 0.500 0.500 0.000 1
```

***

> Among the records above, which one has the lowest DFT total energy?

ReTcN3

***

> Which of these has the lowest DFT total energy?

ReTcN3